No. 1
The following is a DFT calculation (PBE) of an optimized crystal structure of RbNaScF6.

Structure (extended XYZ):
```
18
Lattice="-3.489 3.995 5.737 3.489 -3.995 5.737 3.489 3.995 -5.737" Properties=species:S:1:pos:R:3 pbc="T T T"
Rb 0.000 1.998 1.477
Rb 3.489 1.998 4.260
Na 1.745 1.998 -2.869
Na 1.745 -1.998 2.869
Sc 3.489 0.000 0.000
Sc 0.000 0.000 5.737
F 2.081 -0.197 1.438
F 4.897 -0.197 1.438
F 3.489 -1.998 4.388
F 3.489 1.998 0.382
F 2.081 3.798 -1.438
F 1.408 -0.197 4.299
F 2.081 4.192 1.438
F 1.408 0.197 7.175
F 0.000 1.998 5.355
F 0.000 5.993 1.349
F -1.408 4.192 4.299
F 1.408 4.192 4.299
```

Space-group type ... Imma
Magnetic moment ... 0.112 μB/atom
Raw formation energy ... -2.95 eV per atom
Calculated volume ... 17.77 Å³/atom

=====

No. 2
The following is a DFT calculation (PBE) of an optimized crystal structure of V4Si2C.

Structure (extended XYZ):
```
14
Lattice="6.529 0.000 0.000 0.000 9.027 0.000 0.000 0.000 2.949" Properties=species:S:1:pos:R:3 pbc="T T T"
V 0.918 1.798 0.000
V 1.184 8.318 1.475
V 2.080 3.804 1.475
V 2.346 6.311 0.000
V 4.183 2.716 0.000
V 4.449 5.222 1.475
V 5.344 0.709 1.475
V 5.610 7.229 0.000
Si 0.414 5.725 1.475
Si 2.850 1.211 1.475
Si 3.679 7.815 1.475
Si 6.114 3.302 1.475
C 0.000 0.000 0.000
C 3.264 4.513 0.000
```

Space-group type ... Pbam
Relative energy among the computed polymorphs ... 0.000 eV/atom
Magnetic moment ... 0.000 μB/atom
Raw formation energy ... -0.53 eV per atom
Calculated volume ... 12.41 Å³/atom

=====

No. 3
The following is a DFT calculation (PBE) of an optimized crystal structure of Cs2SrCuCl6.

Structure (extended XYZ):
```
10
Lattice="-3.675 3.675 5.922 3.675 -3.675 5.922 3.675 3.675 -5.922" Properties=species:S:1:pos:R:3 pbc="T T T"
Cs 3.675 0.000 2.961
Cs 0.000 3.675 2.961
Sr 0.000 0.000 0.000
Cu 0.000 0.000 5.922
Cl 0.000 0.000 2.821
Cl 2.044 2.044 0.000
Cl 1.630 -1.630 5.922
Cl -1.630 1.630 5.922
Cl 1.630 1.630 5.922
Cl 0.000 0.000 9.022
```

Space-group type ... I4/mmm
Relative energy among the computed polymorphs ... 0.000 eV/atom
Magnetic moment ... 0.100 μB/atom
Raw formation energy ... -1.67 eV per atom
Calculated volume ... 31.98 Å³/atom

=====

No. 4
The following is a DFT calculation (PBE) of an optimized crystal structure of RbHf2Ta.

Structure (extended XYZ):
```
8
Lattice="-3.841 3.841 6.297 3.841 -3.841 6.297 3.841 3.841 -6.297" Properties=species:S:1:pos:R:3 pbc="T T T"
Rb 3.841 1.921 1.574
Rb 0.000 1.921 4.723
Hf 0.000 0.000 0.000
Hf 1.921 1.921 -3.148
Hf 1.921 -1.921 3.148
Hf 0.000 3.841 0.000
Ta 3.841 -1.921 4.723
Ta 0.000 5.762 1.574
```

Space-group type ... I4_1/amd
Relative energy among the computed polymorphs ... 0.448 eV/atom
Magnetic moment ... 0.000 μB/atom
Formation energy from the elements ... 7.05 eV per formula unit
Calculated volume ... 46.45 Å³/atom

=====

No. 5
The following is a DFT calculation (PBE) of an optimized crystal structure of La14CeTm.

Structure (extended XYZ):
```
16
Lattice="5.213 -5.218 0.000 5.213 5.218 0.000 0.000 0.000 10.503" Properties=species:S:1:pos:R:3 pbc="T T T"
La 0.000 0.000 0.000
La 2.606 2.609 0.000
La 2.606 2.609 5.252
La 2.581 0.000 2.687
La 2.581 0.000 7.816
La 5.213 2.635 2.683
La 5.213 2.635 7.820
La 2.606 -2.609 0.000
La 2.606 -2.609 5.252
La 5.213 0.000 0.000
La 5.213 -2.635 2.683
La 5.213 -2.635 7.820
La 7.844 0.000 2.687
La 7.844 0.000 7.816
Ce 0.000 0.000 5.252
Tm 5.213 0.000 5.252
```

Space-group type ... Cmmm
Magnetic moment ... 0.087 μB/atom
Formation energy from the elements ... 0.35 eV per formula unit
Calculated volume ... 35.71 Å³/atom

=====

No. 6
The following is a DFT calculation (PBE) of an optimized crystal structure of PtRh2W2.

Structure (extended XYZ):
```
5
Lattice="-1.950 1.950 5.660 1.950 -1.950 5.660 1.950 1.950 -5.660" Properties=species:S:1:pos:R:3 pbc="T T T"
Pt 0.000 0.000 0.000
Rh 0.000 0.000 4.465
Rh 0.000 0.000 6.856
W 1.950 0.000 2.830
W 0.000 1.950 2.830
```

Space-group type ... I4/mmm
Relative energy among the computed polymorphs ... 0.609 eV/atom
Magnetic moment ... 0.000 μB/atom
Formation energy from the elements ... 2.14 eV per formula unit
Calculated volume ... 17.22 Å³/atom

=====

No. 7
The following is a DFT calculation (PBE) of an optimized crystal structure of Ce2Al2Si4Ir.

Structure (extended XYZ):
```
9
Lattice="-3.078 3.078 4.263 3.078 -3.078 4.263 3.078 3.078 -4.263" Properties=species:S:1:pos:R:3 pbc="T T T"
Ce 3.078 0.000 2.132
Ce 0.000 3.078 2.132
Al 0.000 0.000 1.771
Al 0.000 0.000 6.755
Si 1.341 1.341 0.000
Si 1.737 -1.737 4.263
Si -1.737 1.737 4.263
Si 1.737 1.737 4.263
Ir 0.000 0.000 4.263
```

Space-group type ... I4/mmm
Magnetic moment ... 0.000 μB/atom
Raw formation energy ... -0.61 eV per atom
Calculated volume ... 17.95 Å³/atom

=====

No. 8
The following is a DFT calculation (PBE) of an optimized crystal structure of HfSiPt3.

Structure (extended XYZ):
```
5
Lattice="4.527 0.000 0.000 0.000 4.527 0.000 0.000 0.000 4.527" Properties=species:S:1:pos:R:3 pbc="T T T"
Hf 0.000 0.000 0.000
Si 2.263 2.263 2.263
Pt 0.000 2.263 2.263
Pt 2.263 0.000 2.263
Pt 2.263 2.263 0.000
```

Space-group type ... Pm-3m
Relative energy among the computed polymorphs ... 0.000 eV/atom
Magnetic moment ... 0.000 μB/atom
Raw formation energy ... -0.20 eV per atom
Calculated volume ... 18.55 Å³/atom

=====

No. 9
The following is a DFT calculation (PBE) of an optimized crystal structure of Y2Be2Sb.

Structure (extended XYZ):
```
5
Lattice="-2.351 2.351 5.077 2.351 -2.351 5.077 2.351 2.351 -5.077" Properties=species:S:1:pos:R:3 pbc="T T T"
Y 2.351 0.000 2.539
Y 0.000 2.351 2.539
Be 0.000 0.000 0.992
Be 0.000 0.000 9.162
Sb 0.000 0.000 5.077
```

Space-group type ... I4/mmm
Relative energy among the computed polymorphs ... 0.601 eV/atom
Magnetic moment ... 0.000 μB/atom
Raw formation energy ... 0.26 eV per atom
Calculated volume ... 22.44 Å³/atom

=====

No. 10
The following is a DFT calculation (PBE) of an optimized crystal structure of UTlSe3.

Structure (extended XYZ):
```
10
Lattice="6.807 -2.764 0.000 6.807 2.764 0.000 -1.427 0.000 8.710" Properties=species:S:1:pos:R:3 pbc="T T T"
U 1.244 0.000 3.618
U 10.943 0.000 5.092
Tl 5.081 0.000 0.742
Tl 7.106 0.000 7.968
Se -0.087 0.000 6.021
Se 2.048 0.000 1.114
Se 3.785 0.000 4.872
Se 8.402 0.000 3.839
Se 10.139 0.000 7.596
Se 12.274 0.000 2.689
```

Space-group type ... C2/m
Relative energy among the computed polymorphs ... 0.000 eV/atom
Magnetic moment ... 0.200 μB/atom
Raw formation energy ... -0.82 eV per atom
Calculated volume ... 32.78 Å³/atom

=====

No. 11
The following is a DFT calculation (PBE) of an optimized crystal structure of Hf2HS.

Structure (extended XYZ):
```
8
Lattice="-3.082 3.082 3.065 3.082 -3.082 3.065 3.082 3.082 -3.065" Properties=species:S:1:pos:R:3 pbc="T T T"
Hf 4.622 1.160 -0.766
Hf 1.160 1.541 0.766
Hf -1.541 1.922 2.299
Hf 1.922 1.541 3.831
H 0.000 0.000 0.000
H 0.000 3.082 1.533
S 3.082 0.000 1.533
S 0.000 0.000 3.065
```

Space-group type ... I-42d
Relative energy among the computed polymorphs ... 0.047 eV/atom
Magnetic moment ... 0.000 μB/atom
Calculated volume ... 14.55 Å³/atom

=====

No. 12
The following is a DFT calculation (PBE) of an optimized crystal structure of YCdCl2.

Structure (extended XYZ):
```
4
Lattice="-2.319 2.319 4.309 2.319 -2.319 4.309 2.319 2.319 -4.309" Properties=species:S:1:pos:R:3 pbc="T T T"
Y 0.000 0.000 0.000
Cd 0.000 0.000 4.309
Cl 2.319 0.000 2.154
Cl 0.000 2.319 2.154
```

Space-group type ... I4/mmm
Relative energy among the computed polymorphs ... 0.367 eV/atom
Magnetic moment ... 0.000 μB/atom
Raw formation energy ... -0.94 eV per atom
Calculated volume ... 23.18 Å³/atom

=====

No. 13
The following is a DFT calculation (PBE) of an optimized crystal structure of CdC2F.

Structure (extended XYZ):
```
8
Lattice="-1.487 1.487 11.863 1.487 -1.487 11.863 1.487 1.487 -11.863" Properties=species:S:1:pos:R:3 pbc="T T T"
Cd 1.487 0.743 2.966
Cd 0.000 0.743 8.898
C 0.000 0.000 0.000
C 0.743 0.743 -5.932
C 0.743 -0.743 5.932
C 0.000 1.487 0.000
F 1.487 -0.743 8.898
F 0.000 2.230 2.966
```

Space-group type ... I4_1/amd
Relative energy among the computed polymorphs ... 0.000 eV/atom
Magnetic moment ... 0.000 μB/atom
Raw formation energy ... 0.73 eV per atom
Calculated volume ... 13.11 Å³/atom

=====

No. 14
The following is a DFT calculation (PBE) of an optimized crystal structure of Tm6PdRu2.

Structure (extended XYZ):
```
18
Lattice="6.512 0.000 0.000 0.000 7.327 0.000 -6.088 0.000 9.276" Properties=species:S:1:pos:R:3 pbc="T T T"
Tm -0.982 0.383 2.199
Tm -4.026 3.281 6.837
Tm 0.979 4.960 0.679
Tm -2.064 6.031 5.317
Tm 2.143 1.207 0.631
Tm -0.901 2.456 5.268
Tm 1.325 4.871 4.007
Tm -1.718 6.120 8.645
Tm 2.489 1.296 3.959
Tm -0.555 2.367 8.597
Tm 4.450 4.046 2.439
Tm 1.406 6.945 7.077
Pd 0.212 0.000 4.638
Pd 3.256 3.664 0.000
Ru -2.694 0.889 7.100
Ru 0.350 2.775 2.462
Ru 0.074 4.553 6.814
Ru 3.118 6.438 2.176
```

Space-group type ... P2_1/c
Magnetic moment ... 0.000 μB/atom
Formation energy from the elements ... -3.73 eV per formula unit
Calculated volume ... 24.59 Å³/atom

=====

No. 15
The following is a DFT calculation (PBE) of an optimized crystal structure of LaCeB12.

Structure (extended XYZ):
```
14
Lattice="0.000 4.138 4.138 4.138 0.000 4.138 4.138 4.138 0.000" Properties=species:S:1:pos:R:3 pbc="T T T"
La 0.000 0.000 0.000
Ce 4.138 4.138 4.138
B 2.069 2.069 0.824
B 2.069 0.824 2.069
B 3.314 2.069 2.069
B 0.824 2.069 2.069
B 2.069 3.314 2.069
B 2.069 2.069 3.314
B 6.207 6.207 4.962
B 6.207 4.962 6.207
B 7.452 6.207 6.207
B 4.962 6.207 6.207
B 6.207 7.452 6.207
B 6.207 6.207 7.452
```

Space-group type ... Fm-3m
Magnetic moment ... 0.074 μB/atom
Formation energy from the elements ... -7.53 eV per formula unit
Calculated volume ... 10.12 Å³/atom

=====

No. 16
The following is a DFT calculation (PBE) of an optimized crystal structure of Tb6SmY2Tm3.

Structure (extended XYZ):
```
12
Lattice="3.076 -5.323 0.000 3.076 5.323 0.000 -2.040 0.000 11.578" Properties=species:S:1:pos:R:3 pbc="T T T"
Tb 0.010 1.773 8.720
Tb 1.024 0.000 2.859
Tb 0.010 -1.773 8.720
Tb 4.103 1.773 2.858
Tb 3.089 0.000 8.719
Tb 4.103 -1.773 2.858
Sm -1.020 0.000 5.789
Y 2.056 1.774 5.789
Y 2.056 -1.774 5.789
Tm 3.076 3.547 0.000
Tm 3.076 0.000 0.000
Tm 3.076 -3.547 0.000
```

Space-group type ... C2/m
Magnetic moment ... 0.000 μB/atom
Formation energy from the elements ... 0.23 eV per formula unit
Calculated volume ... 31.60 Å³/atom

=====

No. 17
The following is a DFT calculation (PBE) of an optimized crystal structure of TiMn3Co.

Structure (extended XYZ):
```
5
Lattice="4.151 0.000 0.000 0.000 4.151 0.000 0.000 0.000 4.151" Properties=species:S:1:pos:R:3 pbc="T T T"
Ti 0.000 0.000 0.000
Mn 0.000 0.000 2.076
Mn 0.000 2.076 0.000
Mn 2.076 0.000 0.000
Co 2.076 2.076 2.076
```

Space-group type ... Pm-3m
Relative energy among the computed polymorphs ... 0.596 eV/atom
Magnetic moment ... 0.001 μB/atom
Formation energy from the elements ... 8.28 eV per formula unit
Calculated volume ... 14.31 Å³/atom

=====

No. 18
The following is a DFT calculation (PBE) of an optimized crystal structure of K2LaIr.

Structure (extended XYZ):
```
4
Lattice="-2.170 2.170 6.389 2.170 -2.170 6.389 2.170 2.170 -6.389" Properties=species:S:1:pos:R:3 pbc="T T T"
K 2.170 0.000 3.195
K 0.000 2.170 3.195
La 0.000 0.000 0.000
Ir 0.000 0.000 6.389
```

Space-group type ... I4/mmm
Relative energy among the computed polymorphs ... 0.419 eV/atom
Magnetic moment ... 0.181 μB/atom
Formation energy from the elements ... 1.35 eV per formula unit
Calculated volume ... 30.09 Å³/atom

=====

No. 19
The following is a DFT calculation (PBE) of an optimized crystal structure of MnNi4Pt2.

Structure (extended XYZ):
```
14
Lattice="6.718 0.000 0.000 0.000 6.718 0.000 0.000 0.000 4.283" Properties=species:S:1:pos:R:3 pbc="T T T"
Mn 0.000 0.000 0.000
Mn 3.359 3.359 2.142
Ni 0.747 2.500 0.000
Ni 0.859 4.106 2.142
Ni 2.500 0.747 0.000
Ni 2.612 5.859 2.142
Ni 4.106 0.859 2.142
Ni 4.218 5.971 0.000
Ni 5.859 2.612 2.142
Ni 5.971 4.218 0.000
Pt 1.400 1.400 2.142
Pt 1.959 4.759 0.000
Pt 4.759 1.959 0.000
Pt 5.318 5.318 2.142
```

Space-group type ... P4_2/mnm
Relative energy among the computed polymorphs ... 0.000 eV/atom
Magnetic moment ... 1.019 μB/atom
Formation energy from the elements ... 0.21 eV per formula unit
Calculated volume ... 13.81 Å³/atom

=====

No. 20
The following is a DFT calculation (PBE) of an optimized crystal structure of Th8MgC5.

Structure (extended XYZ):
```
14
Lattice="9.557 -1.842 0.000 9.557 1.842 0.000 -2.299 0.000 9.213" Properties=species:S:1:pos:R:3 pbc="T T T"
Th 1.098 0.000 1.492
Th 3.085 0.000 7.682
Th 5.186 0.000 4.656
Th 7.469 0.000 1.464
Th 9.347 0.000 7.749
Th 11.629 0.000 4.557
Th 13.730 0.000 1.531
Th 15.718 0.000 7.721
Mg -1.149 0.000 4.606
C 0.861 0.000 9.106
C 3.104 0.000 3.208
C 9.557 0.000 0.000
C 13.711 0.000 6.004
C 15.955 0.000 0.107
```

Space-group type ... C2/m
Magnetic moment ... 0.000 μB/atom
Formation energy from the elements ... -3.35 eV per formula unit
Calculated volume ... 23.17 Å³/atom